Entry 1:
DFT (GGA-PBE) results for an optimized crystal structure of SrHgAsO.

Cell: 4.506 4.506 8.581 Å, 90.00 90.00 90.00°
Fractional coordinates of all 8 atoms:
As 0.000 0.500 0.303
As 0.500 0.000 0.697
Hg 0.000 0.000 0.500
Hg 0.500 0.500 0.500
O 0.000 0.000 0.000
O 0.500 0.500 0.000
Sr 0.500 0.000 0.106
Sr 0.000 0.500 0.894

Summary:
Uncorrected energy   -0.1430 hartree per atom
Mass density   7.23 Mg/m³


Entry 2:
DFT (GGA-PBE) results for an optimized crystal structure of AgPb.

Cell: 3.333 3.333 5.005 Å, 90.00 90.00 120.00°
Fractional coordinates of all 2 atoms:
Ag 0.667 0.333 0.750
Pb 0.333 0.667 0.250

Summary:
Uncorrected energy   -0.1143 hartree per atom
Mass density   10.87 Mg/m³


Entry 3:
DFT (GGA-PBE) results for an optimized crystal structure of ZnReNiPt.

Cell: 4.298 4.298 4.298 Å, 60.00 60.00 60.00°
Fractional coordinates of all 4 atoms:
Ni 0.750 0.750 0.750
Pt 0.250 0.250 0.250
Re 0.500 0.500 0.500
Zn 0.000 0.000 0.000

Summary:
Uncorrected energy   -0.2262 hartree per atom
Mass density   14.95 Mg/m³


Entry 4:
DFT (GGA-PBE) results for an optimized crystal structure of ZrBeSb2.

Cell: 4.989 4.989 4.989 Å, 60.00 60.00 60.00°
Fractional coordinates of all 4 atoms:
Be 0.500 0.500 0.500
Sb 0.000 0.000 0.000
Sb 0.750 0.750 0.750
Zr 0.250 0.250 0.250

Summary:
Uncorrected energy   -0.1719 hartree per atom
Mass density   6.50 Mg/m³


Entry 5:
DFT (GGA-PBE) results for an optimized crystal structure of HoHfNO.

Cell: 3.842 4.637 6.605 Å, 90.00 90.00 90.00°
Fractional coordinates of all 8 atoms:
Hf 0.000 0.439 0.330
Hf 0.000 0.939 0.670
Ho 0.500 0.938 0.157
Ho 0.500 0.438 0.843
N 0.000 0.939 0.356
N 0.000 0.439 0.644
O 0.500 0.438 0.205
O 0.500 0.938 0.795

Summary:
Uncorrected energy   -0.3325 hartree per atom
Mass density   10.54 Mg/m³


Entry 6:
DFT (GGA-PBE) results for an optimized crystal structure of Sc2HgH2.

Cell: 6.156 6.156 6.156 Å, 147.00 147.00 47.37°
Fractional coordinates of all 5 atoms:
H 0.750 0.250 0.500
H 0.250 0.750 0.500
Hg 0.000 0.000 0.000
Sc 0.344 0.344 0.000
Sc 0.656 0.656 0.000

Summary:
Uncorrected energy   -0.1675 hartree per atom
Mass density   7.04 Mg/m³


Entry 7:
DFT (GGA-PBE) results for an optimized crystal structure of LaNdAl4Cu2.

Cell: 7.027 5.947 5.947 Å, 40.49 90.00 90.00°
Fractional coordinates of all 8 atoms:
Al 0.309 0.167 0.167
Al 0.691 0.167 0.167
Al 0.194 0.835 0.835
Al 0.806 0.835 0.835
Cu 0.000 0.276 0.276
Cu 0.500 0.722 0.722
La 0.000 0.552 0.552
Nd 0.500 0.447 0.447

Summary:
Uncorrected energy   -0.1625 hartree per atom
Mass density   5.33 Mg/m³


Entry 8:
DFT (GGA-PBE) results for an optimized crystal structure of KCd6Pt6.

Cell: 7.297 7.297 7.297 Å, 134.64 100.53 96.59°
Fractional coordinates of all 13 atoms:
Cd 0.343 0.343 0.000
Cd 0.657 0.657 0.000
Cd 0.337 0.000 0.337
Cd 0.820 0.320 0.500
Cd 0.180 0.680 0.500
Cd 0.663 0.000 0.663
K 0.000 0.000 0.000
Pt 0.500 0.000 0.000
Pt 0.000 0.500 0.000
Pt 0.756 0.500 0.256
Pt 0.000 0.000 0.500
Pt 0.500 0.500 0.500
Pt 0.244 0.500 0.744

Summary:
Uncorrected energy   -0.1331 hartree per atom
Mass density   12.28 Mg/m³


Entry 9:
DFT (GGA-PBE) results for an optimized crystal structure of Sr2Zn3Cl2O4.

Cell: 7.309 7.309 7.309 Å, 134.57 134.57 66.20°
Fractional coordinates of all 11 atoms:
Cl 0.750 0.250 0.500
Cl 0.250 0.750 0.500
O 0.746 0.254 0.000
O 0.254 0.746 0.000
O 0.746 0.746 0.492
O 0.254 0.254 0.508
Sr 0.361 0.361 0.000
Sr 0.639 0.639 0.000
Zn 0.000 0.000 0.000
Zn 0.500 0.000 0.500
Zn 0.000 0.500 0.500

Summary:
Uncorrected energy   -0.1701 hartree per atom
Mass density   4.31 Mg/m³


Entry 10:
DFT (GGA-PBE) results for an optimized crystal structure of NdInNi.

Cell: 7.442 7.442 4.044 Å, 90.00 90.00 120.00°
Fractional coordinates of all 9 atoms:
In 0.247 0.000 0.000
In 0.000 0.247 0.000
In 0.753 0.753 0.000
Nd 0.587 0.000 0.500
Nd 0.413 0.413 0.500
Nd 0.000 0.587 0.500
Ni 0.667 0.333 0.000
Ni 0.333 0.667 0.000
Ni 0.000 0.000 0.500

Summary:
Uncorrected energy   -0.1772 hartree per atom
Mass density   8.16 Mg/m³


Entry 11:
DFT (GGA-PBE) results for an optimized crystal structure of CsCo.

Cell: 4.467 4.467 4.467 Å, 90.00 90.00 90.00°
Fractional coordinates of all 2 atoms:
Co 0.000 0.000 0.000
Cs 0.500 0.500 0.500

Summary:
Uncorrected energy   -0.0893 hartree per atom
Mass density   3.57 Mg/m³


Entry 12:
DFT (GGA-PBE) results for an optimized crystal structure of LiNbAgO3.

Cell: 9.774 2.979 10.422 Å, 90.00 90.00 90.00°
Fractional coordinates of all 24 atoms:
Ag 0.469 0.000 0.107
Ag 0.969 0.500 0.393
Ag 0.031 0.000 0.607
Ag 0.531 0.500 0.893
Li 0.151 0.000 0.202
Li 0.651 0.500 0.298
Li 0.349 0.000 0.702
Li 0.849 0.500 0.798
Nb 0.856 0.000 0.072
Nb 0.356 0.500 0.428
Nb 0.644 0.000 0.572
Nb 0.144 0.500 0.928
O 0.227 0.000 0.030
O 0.997 0.500 0.118
O 0.745 0.000 0.211
O 0.245 0.500 0.289
O 0.497 0.000 0.382
O 0.727 0.500 0.470
O 0.273 0.000 0.530
O 0.503 0.500 0.618
O 0.755 0.000 0.711
O 0.255 0.500 0.789
O 0.003 0.000 0.882
O 0.773 0.500 0.970

Summary:
Uncorrected energy   -0.2486 hartree per atom
Mass density   5.60 Mg/m³